The following is a DFT calculation (PBE) of crystalline TiTcSn2Os at its relaxed geometry.

a = 5.094 Å, b = 4.329 Å, c = 5.094 Å
α = 90.00°, β = 90.00°, γ = 90.00°
Atoms (fractional coordinates):
Os 0.500 0.500 0.500
Ti 0.000 0.000 0.000
Sn 0.500 0.000 0.000
Sn 0.000 0.000 0.500
Tc 0.000 0.500 0.000

Summary:
SG: P4/mmm
Formation enthalpy at 0 K (eV per atom): 1.550
Calculated density (Mg/m³): 8.48


The following is a DFT calculation (PBE) of crystalline Y2TcSnOs at its relaxed geometry.

a = 5.377 Å, b = 5.377 Å, c = 4.662 Å
α = 90.00°, β = 90.00°, γ = 90.00°
Atoms (fractional coordinates):
Sn 0.500 0.500 0.500
Os 0.000 0.000 0.000
Y 0.500 0.000 0.000
Y 0.000 0.500 0.000
Tc 0.000 0.000 0.500

Summary:
SG: P4/mmm
Formation enthalpy at 0 K (eV per atom): 0.251
Calculated density (Mg/m³): 7.20


The following is a DFT calculation (PBE) of crystalline Zr2TcSnOs at its relaxed geometry.

a = 4.860 Å, b = 4.949 Å, c = 4.860 Å
α = 90.00°, β = 90.00°, γ = 90.00°
Atoms (fractional coordinates):
Os 0.500 0.500 0.500
Zr 0.000 0.000 0.500
Zr 0.500 0.000 0.000
Sn 0.000 0.500 0.000
Tc 0.000 0.000 0.000

Summary:
SG: P4/mmm
Formation enthalpy at 0 K (eV per atom): 0.970
Calculated density (Mg/m³): 8.37


The following is a DFT calculation (PBE) of crystalline Sn2TeOs at its relaxed geometry.

a = 6.358 Å, b = 6.358 Å, c = 7.901 Å
α = 66.27°, β = 66.27°, γ = 90.00°
Atoms (fractional coordinates):
Sn 0.375 0.311 0.750
Sn 0.689 0.125 0.250
Sn 0.875 0.939 0.750
Sn 0.061 0.625 0.250
Os 0.000 0.000 0.000
Os 0.750 0.250 0.500
Te 0.250 0.750 0.500
Te 0.500 0.500 0.000

Summary:
Uncorrected formation energy (eV per atom): 0.56
SG: I-42d
Calculated density (Mg/m³): 7.02


The following is a DFT calculation (PBE) of crystalline Sn3TeOs at its relaxed geometry.

a = 5.181 Å, b = 5.181 Å, c = 5.181 Å
α = 90.00°, β = 90.00°, γ = 90.00°
Atoms (fractional coordinates):
Sn 0.000 0.500 0.000
Sn 0.000 0.000 0.500
Sn 0.500 0.000 0.000
Os 0.000 0.000 0.000
Te 0.500 0.500 0.500

Summary:
Uncorrected formation energy (eV per atom): 0.01
SG: Pm-3m
Distance to the lowest polymorph of the same formula (eV per atom): 0.0000
Calculated density (Mg/m³): 8.05


The following is a DFT calculation (PBE) of crystalline Th6SnTe3Os2 at its relaxed geometry.

a = 4.295 Å, b = 9.184 Å, c = 9.994 Å
α = 106.34°, β = 102.41°, γ = 90.00°
Atoms (fractional coordinates):
Th 0.670 0.131 0.341
Th 0.330 0.869 0.659
Th 0.022 0.259 0.043
Th 0.679 0.561 0.358
Th 0.978 0.741 0.957
Th 0.321 0.439 0.642
Te 0.843 0.160 0.685
Te 0.500 0.500 0.000
Te 0.157 0.840 0.315
Os 0.170 0.341 0.341
Os 0.830 0.659 0.659
Sn 0.500 0.000 0.000

Summary:
Uncorrected formation energy (eV per atom): -0.83
SG: C2/m
Calculated density (Mg/m³): 10.24